Entry 1:
Compound: SmZr4Ga4
Source: Alexandria
Functional: PBE-GGA
Structure: relaxed

Output
magnetization: 0.0 μB per cell
E_form: -0.25 eV per atom
final energy: -5.92 eV per atom

a = 9.033 Å, b = 9.033 Å, c = 5.429 Å
α = 90.00°, β = 90.00°, γ = 90.00°
Space group P4_2/n (No. 86, origin choice 2)
Unique sites:
Sm (0.250, 0.250, 0.250) [2 per cell]
Zr (0.116, 0.642, 0.140) [8 per cell]
Ga (0.054, 0.585, 0.655) [8 per cell]


Entry 2:
Compound: SmZr2Ga
Source: Alexandria
Functional: PBE-GGA
Structure: relaxed

Output
ΔE to the lowest computed polymorph: 0.0 meV/atom
magnetization: 0.0 μB per cell
E_form: -0.20 eV per atom
final energy: -6.41 eV per atom

a = 4.506 Å, b = 4.506 Å, c = 4.463 Å
α = 90.00°, β = 90.00°, γ = 90.00°
Space group P4/mmm (No. 123)
Unique sites:
Sm (0.000, 0.000, 0.000) [1 per cell]
Zr (0.000, 0.500, 0.500) [2 per cell]
Ga (0.500, 0.500, 0.000) [1 per cell]


Entry 3:
Compound: SmZr2Ga6
Source: Alexandria
Functional: PBE-GGA
Structure: relaxed

Output
ΔE to the lowest computed polymorph: 0.0 meV/atom
magnetization: 0.0 μB per cell
E_form: -0.53 eV per atom
final energy: -4.97 eV per atom

a = 7.2289 Å, b = 7.2289 Å, c = 3.8212 Å
α = 90.00°, β = 90.00°, γ = 120.00°
Space group P6/mmm (No. 191)
Unique sites:
Sm (0.0000, 0.0000, 0.0000) [1 per cell]
Zr (0.3333, 0.6667, 0.0000) [2 per cell]
Ga (0.0000, 0.3366, 0.5000) [6 per cell]